(1)
The following is a GGA-PBE calculation of a relaxed structure of MnCu6Pd2, from Alexandria via LeMat-Bulk.

The structure belongs to space group C2/m (No. 12); the cell edges are 7.657, 4.961 and 6.618 Å and the angles 90.00°, 104.76° and 90.00°. Symmetry generates all atoms from Mn at (0.000, 0.000, 0.000), Cu at (0.042, 0.259, 0.691), Cu at (0.243, 0.000, 0.491) and Pd at (0.178, 0.500, 0.086).

As for the formation energy: 0.1 eV/f.u. The calculation puts the energy above the most stable polymorph in this dataset at 0.00 eV/f.u. As for the crystal system: monoclinic.


(2)
The following is a GGA-PBE calculation of a relaxed structure of MnCuPd3, from Alexandria via LeMat-Bulk.

The structure belongs to space group P-1 (No. 2); the cell edges are 2.803, 7.122 and 7.544 Å and the angles 72.70°, 80.92° and 88.41°. Symmetry generates all atoms from Mn at (0.182, 0.451, 0.108), Cu at (0.101, 0.940, 0.299), Pd at (0.287, 0.828, 0.986), Pd at (0.356, 0.385, 0.681) and Pd at (0.453, 0.789, 0.611).

As for the formation energy: 0.2 eV/f.u. The calculation puts the energy above the most stable polymorph in this dataset at 1.05 eV/f.u. As for the crystal system: triclinic.


(3)
The following is a GGA-PBE calculation of a relaxed structure of MnCu3Pd6, from Alexandria via LeMat-Bulk.

The structure belongs to space group R-3 (No. 148, hexagonal axes); the cell edges are 9.5623, 9.5623 and 11.3235 Å and the angles 90.00°, 90.00° and 120.00°. Symmetry generates all atoms from Mn at (0.0000, 0.0000, 0.0000), Mn at (0.0000, 0.0000, 0.5000), Cu at (0.0383, 0.5793, 0.2014), Pd at (0.0449, 0.8592, 0.3078) and Pd at (0.0607, 0.4599, 0.5902).

As for the formation energy: -0.3 eV/f.u. The calculation puts the energy above the most stable polymorph in this dataset at 0.99 eV/f.u. As for the crystal system: trigonal.


Which of these has the highest energy above the most stable polymorph in this dataset? MnCuPd3


Repeat the second record exactly.
The following is a GGA-PBE calculation of a relaxed structure of MnCuPd3, from Alexandria via LeMat-Bulk.

The structure belongs to space group P-1 (No. 2); the cell edges are 2.803, 7.122 and 7.544 Å and the angles 72.70°, 80.92° and 88.41°. Symmetry generates all atoms from Mn at (0.182, 0.451, 0.108), Cu at (0.101, 0.940, 0.299), Pd at (0.287, 0.828, 0.986), Pd at (0.356, 0.385, 0.681) and Pd at (0.453, 0.789, 0.611).

As for the formation energy: 0.2 eV/f.u. The calculation puts the energy above the most stable polymorph in this dataset at 1.05 eV/f.u. As for the crystal system: triclinic.


What is the energy above the most stable polymorph in this dataset in the third record? 0.99 eV/f.u.